# AcNd3Pd8

A relaxed AcNd3Pd8 crystal (PBE, Alexandria).

Unit cell a=5.579 b=5.579 c=9.104 alpha=90.00 beta=90.00 gamma=120.00
Sites, in units of the cell vectors:
Ac 0.000 0.000 0.000
Nd 0.000 0.000 0.376
Nd 0.667 0.333 0.494
Nd 0.667 0.333 0.861
Pd 0.166 0.332 0.681
Pd 0.166 0.834 0.681
Pd 0.333 0.667 0.434
Pd 0.333 0.667 0.934
Pd 0.502 0.003 0.187
Pd 0.502 0.498 0.187
Pd 0.668 0.834 0.681
Pd 0.997 0.498 0.187

- Theoretical density: 10.227 g cm⁻³
- N(E_F): 5.936 states/eV/f.u.
- Calculated total energy: -0.4208 Ry per atom
- ΔE_f: -0.73 eV per atom